P) First-principles (PBE) data for crystalline AlCdAsO at its relaxed geometry, as listed in the Open Quantum Materials Database.

abc: 4.226 4.226 8.862
angles: 90.00 90.00 90.00
Atoms (fractional coordinates):
Cd 0.000 0.500 0.070
Cd 0.500 0.000 0.930
Al 0.500 0.500 0.500
Al 0.000 0.000 0.500
As 0.000 0.500 0.665
As 0.500 0.000 0.335
O 0.000 0.000 0.000
O 0.500 0.500 0.000

Calculated values
Calculated volume (Å³ per cell): 158.2
Space-group type: P4/nmm (129)
Density (Mg/m³): 4.8



Q) First-principles (PBE) data for crystalline AlCdAsO at its relaxed geometry, as listed in the Open Quantum Materials Database.

abc: 4.042 6.781 5.574
angles: 90.00 90.00 90.00
Atoms (fractional coordinates):
Cd 0.500 0.806 0.942
Cd 0.500 0.194 0.442
O 0.000 0.397 0.358
O 0.000 0.603 0.858
As 0.500 0.201 0.919
As 0.500 0.799 0.419
Al 0.000 0.382 0.035
Al 0.000 0.618 0.535

Calculated values
Calculated volume (Å³ per cell): 152.8
Space-group type: Pmc2_1 (26)
Density (Mg/m³): 5.0



R) First-principles (PBE) data for crystalline AlCdAsO at its relaxed geometry, as listed in the Open Quantum Materials Database.

abc: 2.949 7.367 6.982
angles: 90.00 90.00 90.00
Atoms (fractional coordinates):
O 0.500 0.208 0.904
O 0.500 0.792 0.404
As 0.000 0.369 0.326
As 0.000 0.631 0.826
Cd 0.500 0.889 0.053
Cd 0.500 0.111 0.553
Al 0.000 0.322 0.971
Al 0.000 0.678 0.471

Calculated values
Calculated volume (Å³ per cell): 151.7
Space-group type: Pmc2_1 (26)
Density (Mg/m³): 5.0



S) First-principles (PBE) data for crystalline AlCdAsO at its relaxed geometry, as listed in the Open Quantum Materials Database.

abc: 3.813 3.813 9.027
angles: 90.00 90.00 90.00
Atoms (fractional coordinates):
Cd 0.000 0.000 0.500
Cd 0.500 0.500 0.500
Al 0.000 0.500 0.081
Al 0.500 0.000 0.919
As 0.000 0.500 0.719
As 0.500 0.000 0.281
O 0.500 0.500 0.000
O 0.000 0.000 0.000

Calculated values
Calculated volume (Å³ per cell): 131.2
Space-group type: P4/nmm (129)
Density (Mg/m³): 5.8



It is Q) that is the most stable of them.



P) First-principles (PBE) data for crystalline AlCoCuAs at its relaxed geometry, as listed in the Open Quantum Materials Database.

abc: 4.236 4.236 4.236
angles: 60.00 60.00 60.00
Atoms (fractional coordinates):
Co 0.500 0.500 0.500
As 0.250 0.250 0.250
Al 0.000 0.000 0.000
Cu 0.750 0.750 0.750

Calculated values
Calculated volume (Å³ per cell): 53.7
Space-group type: F-43m (216)
Density (Mg/m³): 6.9



Q) First-principles (PBE) data for crystalline AlCoCuAs at its relaxed geometry, as listed in the Open Quantum Materials Database.

abc: 4.203 4.203 4.203
angles: 60.00 60.00 60.00
Atoms (fractional coordinates):
Al 0.500 0.500 0.500
Co 0.250 0.250 0.250
Cu 0.750 0.750 0.750
As 0.000 0.000 0.000

Calculated values
Calculated volume (Å³ per cell): 52.5
Space-group type: F-43m (216)
Density (Mg/m³): 7.1



It is Q) that is the most stable of them.